No. 1
# K2NpPdO6 | Alexandria via LeMat-Bulk | PBE-GGA | relaxed
data_K2NpPdO6
_space_group_name_H-M_alt 'F m -3 m'
_space_group_IT_number 225
_space_group_name_Hall '-F 4 2 3'
_cell_length_a 8.2139
_cell_length_b 8.2139
_cell_length_c 8.2139
_cell_angle_alpha 90.00
_cell_angle_beta 90.00
_cell_angle_gamma 90.00
loop_
_atom_site_label
_atom_site_fract_x
_atom_site_fract_y
_atom_site_fract_z
K1 0.2500 0.2500 0.2500
Np1 0.0000 0.0000 0.0000
Pd1 0.0000 0.0000 0.5000
O1 0.0000 0.0000 0.2501
# - electronic total energy (eV/atom) = -6.810
# - magnetization (μB/f.u.) = 1.0
# - density of states at the Fermi level (states/eV/cell) = 18.71
# - calculated volume (Å³ per atom) = 13.855



No. 2
# Ho4HPt2 | Alexandria via LeMat-Bulk | PBE-GGA | relaxed
data_Ho4HPt2
_space_group_name_H-M_alt 'I 4/m m m'
_space_group_IT_number 139
_space_group_name_Hall '-I 4 2'
_cell_length_a 4.5916
_cell_length_b 4.5916
_cell_length_c 14.4330
_cell_angle_alpha 90.00
_cell_angle_beta 90.00
_cell_angle_gamma 90.00
loop_
_atom_site_label
_atom_site_fract_x
_atom_site_fract_y
_atom_site_fract_z
Ho1 0.0000 0.0000 0.1861
Ho2 0.0000 0.5000 0.0000
H1 0.0000 0.0000 0.0000
Pt1 0.0000 0.0000 0.3741
# - electronic total energy (eV/atom) = -5.632
# - magnetization (μB/f.u.) = 0.0
# - density of states at the Fermi level (states/eV/cell) = 12.73
# - calculated volume (Å³ per atom) = 21.735



No. 3
# Cs3PrU2S6 | Alexandria via LeMat-Bulk | PBE-GGA | relaxed
data_Cs3PrU2S6
_space_group_name_H-M_alt 'C 1 2/m 1'
_space_group_IT_number 12
_space_group_name_Hall '-C 2y'
_cell_length_a 7.2057
_cell_length_b 12.4805
_cell_length_c 8.4642
_cell_angle_alpha 90.00
_cell_angle_beta 106.49
_cell_angle_gamma 90.00
loop_
_atom_site_label
_atom_site_fract_x
_atom_site_fract_y
_atom_site_fract_z
Cs1 0.0000 0.0000 0.0000
Cs2 0.0000 0.3359 0.0000
Pr1 0.0000 0.5000 0.5000
U1 0.0000 0.1669 0.5000
S1 0.2155 0.0000 0.6834
S2 0.2344 0.3272 0.6845
# - electronic total energy (eV/atom) = -6.042
# - magnetization (μB/f.u.) = 6.0
# - density of states at the Fermi level (states/eV/cell) = 18.21
# - calculated volume (Å³ per atom) = 30.412



No. 4
# Nd8Pt2Rh3 | Alexandria via LeMat-Bulk | PBE-GGA | relaxed
data_Nd8Pt2Rh3
_space_group_name_H-M_alt 'P 1 2/m 1'
_space_group_IT_number 10
_space_group_name_Hall '-P 2y'
_cell_length_a 8.6500
_cell_length_b 5.0155
_cell_length_c 8.6823
_cell_angle_alpha 90.00
_cell_angle_beta 109.35
_cell_angle_gamma 90.00
loop_
_atom_site_label
_atom_site_fract_x
_atom_site_fract_y
_atom_site_fract_z
Nd1 0.1226 0.0000 0.3765
Nd2 0.1254 0.5000 0.8709
Nd3 0.3706 0.5000 0.6242
Nd4 0.3771 0.0000 0.1236
Pt1 0.2522 0.5000 0.2470
Rh1 0.0000 0.5000 0.5000
Rh2 0.2519 0.0000 0.7514
# - magnetization (μB/f.u.) = 0.0
# - density of states at the Fermi level (states/eV/cell) = 13.89
# - calculated volume (Å³ per atom) = 27.338
# - energy of formation (kJ/mol of formula units) = -808
# - distance to the lowest polymorph of the same formula (kJ per mole of atoms) = 0.0



No. 5
# Ce6FeBi2Ru | Alexandria via LeMat-Bulk | PBE-GGA | relaxed
data_Ce6FeBi2Ru
_space_group_name_H-M_alt 'P 4/m m m'
_space_group_IT_number 123
_space_group_name_Hall '-P 4 2'
_cell_length_a 5.2845
_cell_length_b 5.2845
_cell_length_c 10.2174
_cell_angle_alpha 90.00
_cell_angle_beta 90.00
_cell_angle_gamma 90.00
loop_
_atom_site_label
_atom_site_fract_x
_atom_site_fract_y
_atom_site_fract_z
Ce1 0.0000 0.0000 0.2363
Ce2 0.0000 0.5000 0.0000
Ce3 0.0000 0.5000 0.5000
Fe1 0.0000 0.0000 0.0000
Bi1 0.5000 0.5000 0.2475
Ru1 0.0000 0.0000 0.5000
# - magnetization (μB/f.u.) = 5.4
# - density of states at the Fermi level (states/eV/cell) = 31.51
# - calculated volume (Å³ per atom) = 28.533
# - energy of formation (kJ/mol of formula units) = -360



No. 6
# LaPm2Pr6Nd | Alexandria via LeMat-Bulk | PBE-GGA | relaxed
data_LaPm2Pr6Nd
_space_group_name_H-M_alt 'C 1 2/m 1'
_space_group_IT_number 12
_space_group_name_Hall '-C 2y'
_cell_length_a 11.4916
_cell_length_b 7.1132
_cell_length_c 9.1421
_cell_angle_alpha 90.00
_cell_angle_beta 104.37
_cell_angle_gamma 90.00
loop_
_atom_site_label
_atom_site_fract_x
_atom_site_fract_y
_atom_site_fract_z
La1 0.0000 0.0000 0.0000
Pm1 0.0851 0.0000 0.6619
Pr1 0.1293 0.5000 0.9224
Pr2 0.1821 0.2341 0.3006
Nd1 0.0000 0.5000 0.5000
# - magnetization (μB/f.u.) = 0.0
# - density of states at the Fermi level (states/eV/cell) = 39.04
# - calculated volume (Å³ per atom) = 36.195
# - energy of formation (kJ/mol of formula units) = 185



No. 7
# BiOs4 | Alexandria via LeMat-Bulk | PBE-GGA | relaxed
data_BiOs4
_space_group_name_H-M_alt 'P m -3 m'
_space_group_IT_number 221
_space_group_name_Hall '-P 4 2 3'
_cell_length_a 4.8760
_cell_length_b 4.8760
_cell_length_c 4.8760
_cell_angle_alpha 90.00
_cell_angle_beta 90.00
_cell_angle_gamma 90.00
loop_
_atom_site_label
_atom_site_fract_x
_atom_site_fract_y
_atom_site_fract_z
Bi1 0.0000 0.0000 0.0000
Os1 0.0000 0.0000 0.5000
Os2 0.5000 0.5000 0.5000
# - magnetization (μB/f.u.) = 5.2
# - density of states at the Fermi level (states/eV/cell) = 8.65
# - calculated volume (Å³ per atom) = 23.185
# - energy of formation (kJ/mol of formula units) = 1782



No. 8
# YTl2In | Alexandria via LeMat-Bulk | PBE-GGA | relaxed
data_YTl2In
_space_group_name_H-M_alt 'R 3 m'
_space_group_IT_number 160
_space_group_name_Hall 'R 3 -2"'
_cell_length_a 4.7137
_cell_length_b 4.7137
_cell_length_c 18.7291
_cell_angle_alpha 90.00
_cell_angle_beta 90.00
_cell_angle_gamma 120.00
loop_
_atom_site_label
_atom_site_fract_x
_atom_site_fract_y
_atom_site_fract_z
Y1 0.0000 0.0000 0.0000
Tl1 0.0000 0.0000 0.4067
Tl2 0.0000 0.0000 0.5731
In1 0.0000 0.0000 0.8157
# - magnetization (μB/f.u.) = 0.0
# - density of states at the Fermi level (states/eV/cell) = 3.87
# - calculated volume (Å³ per atom) = 30.032
# - energy of formation (kJ/mol of formula units) = -24



No. 9
# ZrTc2Ir | Alexandria via LeMat-Bulk | PBE-GGA | relaxed
data_ZrTc2Ir
_space_group_name_H-M_alt 'C m m m'
_space_group_IT_number 65
_space_group_name_Hall '-C 2 2'
_cell_length_a 5.6387
_cell_length_b 7.9947
_cell_length_c 2.8456
_cell_angle_alpha 90.00
_cell_angle_beta 90.00
_cell_angle_gamma 90.00
loop_
_atom_site_label
_atom_site_fract_x
_atom_site_fract_y
_atom_site_fract_z
Zr1 0.0000 0.0000 0.0000
Tc1 0.2500 0.2500 0.5000
Ir1 0.0000 0.5000 0.0000
# - magnetization (μB/f.u.) = 0.0
# - density of states at the Fermi level (states/eV/cell) = 9.31
# - calculated volume (Å³ per atom) = 16.035
# - energy of formation (kJ/mol of formula units) = -19
# - distance to the lowest polymorph of the same formula (kJ per mole of atoms) = 12.8



No. 10
# Hg4BiPb | Alexandria via LeMat-Bulk | PBE-GGA | relaxed
data_Hg4BiPb
_space_group_name_H-M_alt 'P -1'
_space_group_IT_number 2
_space_group_name_Hall '-P 1'
_cell_length_a 4.5708
_cell_length_b 4.5857
_cell_length_c 9.0377
_cell_angle_alpha 80.06
_cell_angle_beta 84.85
_cell_angle_gamma 89.73
loop_
_atom_site_label
_atom_site_fract_x
_atom_site_fract_y
_atom_site_fract_z
Hg1 0.0675 0.0955 0.1524
Hg2 0.4283 0.4009 0.8483
Bi1 0.0000 0.0000 0.5000
Pb1 0.5000 0.5000 0.5000
# - magnetization (μB/f.u.) = 0.0
# - density of states at the Fermi level (states/eV/cell) = 1.66
# - calculated volume (Å³ per atom) = 30.970
# - energy of formation (kJ/mol of formula units) = 30
# - distance to the lowest polymorph of the same formula (kJ per mole of atoms) = 0.0



No. 11
# K2La6OsI12 | Alexandria via LeMat-Bulk | PBE-GGA | relaxed
data_K2La6OsI12
_space_group_name_H-M_alt 'P 1 21/c 1'
_space_group_IT_number 14
_space_group_name_Hall '-P 2ybc'
_cell_length_a 10.1103
_cell_length_b 19.6436
_cell_length_c 10.0722
_cell_angle_alpha 90.00
_cell_angle_beta 108.22
_cell_angle_gamma 90.00
loop_
_atom_site_label
_atom_site_fract_x
_atom_site_fract_y
_atom_site_fract_z
K1 0.0715 0.1921 0.4084
La1 0.2080 0.5119 0.4057
La2 0.4807 0.1437 0.8982
La3 0.4912 0.0460 0.2615
Os1 0.5000 0.0000 0.0000
I1 0.1403 0.1458 0.7772
I2 0.1510 0.0351 0.1973
I3 0.1790 0.5669 0.0955
I4 0.1896 0.6750 0.4850
I5 0.4278 0.2072 0.1817
I6 0.4744 0.1009 0.5816
# - electronic total energy (eV/atom) = -4.289
# - magnetization (μB/f.u.) = 2.1
# - density of states at the Fermi level (states/eV/cell) = 9.91
# - calculated volume (Å³ per atom) = 45.241



No. 12
# Cd9In3Hg2 | Alexandria via LeMat-Bulk | PBE-GGA | relaxed
data_Cd9In3Hg2
_space_group_name_H-M_alt 'C 1 2/m 1'
_space_group_IT_number 12
_space_group_name_Hall '-C 2y'
_cell_length_a 11.3472
_cell_length_b 10.4858
_cell_length_c 5.9365
_cell_angle_alpha 90.00
_cell_angle_beta 92.38
_cell_angle_gamma 90.00
loop_
_atom_site_label
_atom_site_fract_x
_atom_site_fract_y
_atom_site_fract_z
Cd1 0.0000 0.0000 0.0000
Cd2 0.1314 0.2422 0.1060
Cd3 0.1565 0.3599 0.6134
In1 0.0000 0.5000 0.0000
In2 0.2330 0.0000 0.7902
Hg1 0.0000 0.1389 0.5000
# - magnetization (μB/f.u.) = 0.0
# - density of states at the Fermi level (states/eV/cell) = 12.15
# - calculated volume (Å³ per atom) = 25.205
# - energy of formation (kJ/mol of formula units) = 68



No. 13
# Nb3PbS | Alexandria via LeMat-Bulk | PBE-GGA | relaxed
data_Nb3PbS
_space_group_name_H-M_alt 'P m -3 m'
_space_group_IT_number 221
_space_group_name_Hall '-P 4 2 3'
_cell_length_a 5.1867
_cell_length_b 5.1867
_cell_length_c 5.1867
_cell_angle_alpha 90.00
_cell_angle_beta 90.00
_cell_angle_gamma 90.00
loop_
_atom_site_label
_atom_site_fract_x
_atom_site_fract_y
_atom_site_fract_z
Nb1 0.0000 0.0000 0.5000
Pb1 0.0000 0.0000 0.0000
S1 0.5000 0.5000 0.5000
# - magnetization (μB/f.u.) = 2.4
# - density of states at the Fermi level (states/eV/cell) = 8.65
# - calculated volume (Å³ per atom) = 27.906
# - distance to the lowest polymorph of the same formula (kJ per mole of atoms) = 205.1



No. 14
# BaH3Rh | Alexandria via LeMat-Bulk | PBE-GGA | relaxed
data_BaH3Rh
_space_group_name_H-M_alt 'I m m a'
_space_group_IT_number 74
_space_group_name_Hall '-I 2b 2'
_cell_length_a 5.0699
_cell_length_b 8.3012
_cell_length_c 6.9697
_cell_angle_alpha 90.00
_cell_angle_beta 90.00
_cell_angle_gamma 90.00
loop_
_atom_site_label
_atom_site_fract_x
_atom_site_fract_y
_atom_site_fract_z
Ba1 0.0000 0.0000 0.0000
H1 0.0000 0.1221 0.3866
H2 0.2500 0.2500 0.7500
Rh1 0.0000 0.2500 0.5663
# - electronic total energy (eV/atom) = -4.120
# - magnetization (μB/f.u.) = 0.0
# - density of states at the Fermi level (states/eV/cell) = 5.69
# - calculated volume (Å³ per atom) = 14.667



No. 15
# K2IrAuN | Alexandria via LeMat-Bulk | PBE-GGA | relaxed
data_K2IrAuN
_space_group_name_H-M_alt 'P 4/m m m'
_space_group_IT_number 123
_space_group_name_Hall '-P 4 2'
_cell_length_a 5.9564
_cell_length_b 5.9564
_cell_length_c 3.6872
_cell_angle_alpha 90.00
_cell_angle_beta 90.00
_cell_angle_gamma 90.00
loop_
_atom_site_label
_atom_site_fract_x
_atom_site_fract_y
_atom_site_fract_z
K1 0.0000 0.5000 0.0000
Ir1 0.0000 0.0000 0.5000
Au1 0.5000 0.5000 0.5000
N1 0.0000 0.0000 0.0000
# - electronic total energy (eV/atom) = -4.550
# - magnetization (μB/f.u.) = 0.0
# - density of states at the Fermi level (states/eV/cell) = 4.50
# - calculated volume (Å³ per atom) = 26.164



No. 16
# BaBi | Alexandria via LeMat-Bulk | PBE-GGA | relaxed
data_BaBi
_space_group_name_H-M_alt 'C 1 2/m 1'
_space_group_IT_number 12
_space_group_name_Hall '-C 2y'
_cell_length_a 13.1224
_cell_length_b 4.9433
_cell_length_c 5.4432
_cell_angle_alpha 90.00
_cell_angle_beta 100.69
_cell_angle_gamma 90.00
loop_
_atom_site_label
_atom_site_fract_x
_atom_site_fract_y
_atom_site_fract_z
Ba1 0.1254 0.0000 0.2479
Bi1 0.0965 0.5000 0.7135
# - magnetization (μB/f.u.) = 0.0
# - density of states at the Fermi level (states/eV/cell) = 2.26
# - calculated volume (Å³ per atom) = 43.370
# - energy of formation (kJ/mol of formula units) = -157



No. 17
# Li2MoRu | Alexandria via LeMat-Bulk | PBE-GGA | relaxed
data_Li2MoRu
_space_group_name_H-M_alt 'P 4 m m'
_space_group_IT_number 99
_space_group_name_Hall 'P 4 -2'
_cell_length_a 3.0722
_cell_length_b 3.0722
_cell_length_c 6.4970
_cell_angle_alpha 90.00
_cell_angle_beta 90.00
_cell_angle_gamma 90.00
loop_
_atom_site_label
_atom_site_fract_x
_atom_site_fract_y
_atom_site_fract_z
Li1 0.0000 0.0000 0.0000
Li2 0.5000 0.5000 0.2517
Mo1 0.0000 0.0000 0.5387
Ru1 0.5000 0.5000 0.7392
# - magnetization (μB/f.u.) = 0.0
# - density of states at the Fermi level (states/eV/cell) = 4.12
# - calculated volume (Å³ per atom) = 15.330
# - energy of formation (kJ/mol of formula units) = 85
# - distance to the lowest polymorph of the same formula (kJ per mole of atoms) = 1.7



No. 18
# AsC3 | Alexandria via LeMat-Bulk | PBE-GGA | relaxed
data_AsC3
_space_group_name_H-M_alt 'P 1'
_space_group_IT_number 1
_space_group_name_Hall 'P 1'
_cell_length_a 2.7100
_cell_length_b 3.1850
_cell_length_c 7.5274
_cell_angle_alpha 100.42
_cell_angle_beta 90.76
_cell_angle_gamma 115.08
loop_
_atom_site_label
_atom_site_fract_x
_atom_site_fract_y
_atom_site_fract_z
As1 0.0000 0.0000 0.0000
C1 0.2333 0.9125 0.4241
C2 0.2845 0.5752 0.8977
C3 0.7151 0.9130 0.4241
# - magnetization (μB/f.u.) = 0.0
# - density of states at the Fermi level (states/eV/cell) = 0.93
# - calculated volume (Å³ per atom) = 14.395
# - energy of formation (kJ/mol of formula units) = 575
# - distance to the lowest polymorph of the same formula (kJ per mole of atoms) = 70.3



No. 19
# KSrMn4 | Alexandria via LeMat-Bulk | PBE-GGA | relaxed
data_KSrMn4
_space_group_name_H-M_alt 'F -4 3 m'
_space_group_IT_number 216
_space_group_name_Hall 'F -4 2 3'
_cell_length_a 8.3031
_cell_length_b 8.3031
_cell_length_c 8.3031
_cell_angle_alpha 90.00
_cell_angle_beta 90.00
_cell_angle_gamma 90.00
loop_
_atom_site_label
_atom_site_fract_x
_atom_site_fract_y
_atom_site_fract_z
K1 0.0000 0.0000 0.0000
Sr1 0.2500 0.2500 0.2500
Mn1 0.1158 0.1158 0.6158
# - magnetization (μB/f.u.) = 15.1
# - density of states at the Fermi level (states/eV/cell) = 30.71
# - calculated volume (Å³ per atom) = 23.852
# - energy of formation (kJ/mol of formula units) = 485



No. 20
# Ca2ZnCu2 | Alexandria via LeMat-Bulk | PBE-GGA | relaxed
data_Ca2ZnCu2
_space_group_name_H-M_alt 'C 1 2/c 1'
_space_group_IT_number 15
_space_group_name_Hall '-C 2yc'
_cell_length_a 9.8541
_cell_length_b 5.7238
_cell_length_c 7.7227
_cell_angle_alpha 90.00
_cell_angle_beta 103.31
_cell_angle_gamma 90.00
loop_
_atom_site_label
_atom_site_fract_x
_atom_site_fract_y
_atom_site_fract_z
Ca1 0.1489 0.1353 0.1475
Zn1 0.0000 0.3639 0.7500
Cu1 0.1351 0.3623 0.5011
# - magnetization (μB/f.u.) = 0.0
# - density of states at the Fermi level (states/eV/cell) = 8.36
# - calculated volume (Å³ per atom) = 21.194
# - energy of formation (kJ/mol of formula units) = -95